This record from Alexandria describes a relaxed structure of CrAgAu2. The functional is PBE-GGA.

The structure in CIF format:
```
data_CrAgAu2
_cell_length_a 5.940
_cell_length_b 7.652
_cell_length_c 3.091
_cell_angle_alpha 90.00
_cell_angle_beta 90.00
_cell_angle_gamma 90.00
_symmetry_space_group_name_H-M 'C m m m'
_symmetry_Int_Tables_number 65
_symmetry_space_group_name_Hall '-C 2 2'
loop_
_atom_site_label
_atom_site_type_symbol
_atom_site_fract_x
_atom_site_fract_y
_atom_site_fract_z
Cr1 Cr 0.000 0.000 0.000
Ag1 Ag 0.000 0.500 0.000
Au1 Au 0.250 0.250 0.500
```

Output
DOS at the Fermi energy (states/eV per atom): 0.312
Energy (eV per atom): -4.6489


This record from Alexandria describes a relaxed structure of SrHF14. The functional is PBE-GGA.

The structure in CIF format:
```
data_SrHF14
_cell_length_a 3.573
_cell_length_b 10.855
_cell_length_c 5.767
_cell_angle_alpha 90.00
_cell_angle_beta 92.75
_cell_angle_gamma 90.00
_symmetry_space_group_name_H-M 'P 1 m 1'
_symmetry_Int_Tables_number 6
_symmetry_space_group_name_Hall 'P -2y'
loop_
_atom_site_label
_atom_site_type_symbol
_atom_site_fract_x
_atom_site_fract_y
_atom_site_fract_z
Sr1 Sr 0.000 0.000 0.000
H1 H 0.493 0.000 0.504
F1 F 0.164 0.289 0.498
F2 F 0.278 0.217 0.998
F3 F 0.339 0.500 0.739
F4 F 0.368 0.500 0.203
F5 F 0.473 0.000 0.696
F6 F 0.524 0.000 0.299
F7 F 0.767 0.219 0.950
F8 F 0.837 0.500 0.740
F9 F 0.866 0.500 0.202
F10 F 0.930 0.185 0.450
```

Output
DOS at the Fermi energy (states/eV per atom): 0.409
Energy (eV per atom): -2.7568


This record from Alexandria describes a relaxed structure of Tb2Er7Tm4. The functional is PBE-GGA.

The structure in CIF format:
```
data_Tb2Er7Tm4
_cell_length_a 5.9799
_cell_length_b 5.9799
_cell_length_c 13.1217
_cell_angle_alpha 90.00
_cell_angle_beta 90.00
_cell_angle_gamma 120.00
_symmetry_space_group_name_H-M 'P -3 1 m'
_symmetry_Int_Tables_number 162
_symmetry_space_group_name_Hall '-P 3 2'
loop_
_atom_site_label
_atom_site_type_symbol
_atom_site_fract_x
_atom_site_fract_y
_atom_site_fract_z
Tb1 Tb 0.3333 0.6667 0.0000
Er1 Er 0.0000 0.0000 0.0000
Er2 Er 0.0000 0.3532 0.2162
Tm1 Tm 0.0000 0.0000 0.3946
Tm2 Tm 0.3333 0.6667 0.5000
```

Output
DOS at the Fermi energy (states/eV per atom): 1.290
Energy (eV per atom): -4.3552


> Which of these has the highest DOS at the Fermi energy?

Tb2Er7Tm4


> The lowest DOS at the Fermi energy belongs to which entry?

CrAgAu2


> The lowest energy belongs to which entry?

CrAgAu2


> What is the formula in the first record?

CrAgAu2